# 1
Compound: TcPd3Br
Source: Alexandria via LeMat-Bulk
Functional: PBE-GGA
Structure: optimized geometry

Cell lengths 4.7118, 4.7118, 4.7118 Å; angles 90.00, 90.00, 90.00 degrees
With the nearest neighbours (Å) after each atom.
Positions (direct):
Pd (0.5000, 0.0000, 0.0000)  2 Br 2.36
Pd (0.0000, 0.5000, 0.0000)  2 Br 2.36
Pd (0.0000, 0.0000, 0.5000)  2 Br 2.36
Br (0.0000, 0.0000, 0.0000)  6 Pd 2.36
Tc (0.5000, 0.5000, 0.5000)  12 Pd 3.33

Results
The total energy comes out at -4.428 eV per atom. The magnetization is 4.030 Bohr magnetons per cell. The space group is Pm-3m, No. 221.

***

# 2
Compound: NdHg3Pd7
Source: Alexandria via LeMat-Bulk
Functional: PBE-GGA
Structure: optimized geometry

Cell lengths 5.4894, 7.3726, 7.3726 Å; angles 80.51, 120.53, 120.53 degrees
With the nearest neighbours (Å) after each atom.
Positions (direct):
Pd (0.0000, 0.5000, 0.5000)  2 Hg 2.70, 2 Pd 2.72, 2 Nd 2.74
Pd (0.6154, 0.7899, 0.7899)  5 Pd 2.72-2.90, 3 Hg 2.76-2.83, 1 Nd 2.88
Pd (0.6796, 0.4203, 0.9473)  3 Hg 2.76-2.82, 3 Pd 2.77-2.90, 1 Nd 2.97
Pd (0.3846, 0.2101, 0.2101)  5 Pd 2.72-2.90, 3 Hg 2.76-2.83, 1 Nd 2.88
Pd (0.3204, 0.0527, 0.5797)  3 Hg 2.76-2.82, 3 Pd 2.77-2.90, 1 Nd 2.97
Pd (0.3204, 0.5797, 0.0527)  3 Hg 2.76-2.82, 3 Pd 2.77-2.90, 1 Nd 2.97
Pd (0.6796, 0.9473, 0.4203)  3 Hg 2.76-2.82, 3 Pd 2.77-2.90, 1 Nd 2.97
Nd (0.5000, 0.5000, 0.5000)  8 Pd 2.74-2.97
Hg (0.0000, 0.2161, 0.7839)  7 Pd 2.70-2.82
Hg (0.0000, 0.7839, 0.2161)  7 Pd 2.70-2.82
Hg (0.5000, 0.0000, 0.0000)  6 Pd 2.76-2.83

Results
The energy of formation comes out at -158 meV/atom. The magnetization is 0.000 Bohr magnetons per cell. The space group is C2/m, No. 12.

***

# 3
Compound: CrI2Br
Source: Alexandria via LeMat-Bulk
Functional: PBE-GGA
Structure: optimized geometry

Cell lengths 10.0501, 10.0501, 7.5863 Å; angles 48.52, 48.52, 90.00 degrees
With the nearest neighbours (Å) after each atom.
Positions (direct):
I (0.3750, 0.5200, 0.7500)  2 Cr 2.80
I (0.8750, 0.7300, 0.7500)  2 Cr 2.80
I (0.4800, 0.1250, 0.2500)  2 Cr 2.80
I (0.2700, 0.6250, 0.2500)  2 Cr 2.80
Br (0.0000, 0.0000, 0.0000)  2 Cr 2.66
Br (0.7500, 0.2500, 0.5000)  2 Cr 2.66
Cr (0.5000, 0.5000, 0.0000)  2 Br 2.66, 4 I 2.80
Cr (0.2500, 0.7500, 0.5000)  2 Br 2.66, 4 I 2.80

Results
The total energy comes out at -3.769 eV per atom. The magnetization is 6.000 Bohr magnetons per cell. The space group is I-42d, No. 122.

***

# 4
Compound: NdHBr
Source: Alexandria via LeMat-Bulk
Functional: PBE-GGA
Structure: optimized geometry

Cell lengths 4.5530, 4.5531, 7.0893 Å; angles 71.31, 71.31, 89.95 degrees
With the nearest neighbours (Å) after each atom.
Positions (direct):
H (0.1539, 0.5949, 0.6085)  4 Nd 2.57
H (0.6545, 0.0942, 0.6085)  4 Nd 2.57
Br (0.4042, 0.8443, 0.1085)  4 Nd 3.01-3.02, 2 H 3.16, 4 Br 3.22
Br (0.9042, 0.3443, 0.1085)  4 Nd 3.01-3.02, 2 H 3.16, 4 Br 3.22
Nd (0.5605, 0.5007, 0.7961)  4 H 2.57
Nd (0.2479, 0.1882, 0.4209)  4 H 2.57

Results
The total energy comes out at -4.150 eV per atom. The magnetization is 0.000 Bohr magnetons per cell. The space group is I4/mmm, No. 139.

***

# 5
Compound: NdCuPtPb
Source: Alexandria via LeMat-Bulk
Functional: PBE-GGA
Structure: optimized geometry

Cell lengths 4.9563, 4.9563, 4.9563 Å; angles 60.00, 60.00, 60.00 degrees
With the nearest neighbours (Å) after each atom.
Positions (direct):
Cu (0.2500, 0.2500, 0.2500)  4 Pb 3.04, 4 Nd 3.04
Pt (0.7500, 0.7500, 0.7500)  4 Pb 3.04, 4 Nd 3.04
Pb (0.0000, 0.0000, 0.0000)  4 Pt 3.04, 4 Cu 3.04
Nd (0.5000, 0.5000, 0.5000)  4 Cu 3.04, 4 Pt 3.04

Results
The energy of formation comes out at -456 meV/atom. The magnetization is 0.000 Bohr magnetons per cell. The space group is F-43m, No. 216.

***

# 6
Compound: SmHoIrI
Source: Alexandria via LeMat-Bulk
Functional: PBE-GGA
Structure: optimized geometry

Cell lengths 4.1442, 4.1440, 8.3100 Å; angles 90.00, 104.45, 120.00 degrees
With the nearest neighbours (Å) after each atom.
Positions (direct):
Ho (0.0894, 0.9426, 0.0473)  3 Ir 2.76
Sm (0.5165, 0.1562, 0.6881)  3 Ir 2.81
I (0.9648, 0.3805, 0.3601)  3 Ho 3.45, 3 Sm 3.54
Ir (0.3072, 0.5515, 0.8742)  3 Ho 2.76, 3 Sm 2.81

Results
The total energy comes out at -5.886 eV per atom. The magnetization is 0.000 Bohr magnetons per cell. The space group is R3m, No. 160.

***

# 7
Compound: Ac2Al5Zn
Source: Alexandria via LeMat-Bulk
Functional: PBE-GGA
Structure: optimized geometry

Cell lengths 4.6351, 9.0876, 9.3295 Å; angles 90.00, 90.00, 104.78 degrees
With the nearest neighbours (Å) after each atom.
Positions (direct):
Al (0.1841, 0.3682, 0.6093)  3 Al 2.63-2.68
Al (0.4127, 0.8253, 0.2500)  1 Zn 2.62, 2 Al 2.71
Al (0.3531, 0.7063, 0.5174)  1 Zn 2.64, 3 Al 2.68-2.71
Al (0.6469, 0.2937, 0.4826)  1 Zn 2.64, 3 Al 2.68-2.71
Al (0.8159, 0.6318, 0.1093)  3 Al 2.63-2.68
Al (0.3531, 0.7063, 0.9826)  1 Zn 2.64, 3 Al 2.68-2.71
Al (0.1841, 0.3682, 0.8907)  3 Al 2.63-2.68
Al (0.8159, 0.6318, 0.3907)  3 Al 2.63-2.68
Al (0.5873, 0.1747, 0.7500)  1 Zn 2.62, 2 Al 2.71
Al (0.6469, 0.2937, 0.0174)  1 Zn 2.64, 3 Al 2.68-2.71
Ac (0.7961, 0.5922, 0.7500)  13 Al 3.31-3.67, 2 Zn 3.41
Ac (0.0000, 0.0000, 0.5000)  10 Al 3.39-3.63, 4 Zn 3.46
Ac (0.0000, 0.0000, 0.0000)  10 Al 3.39-3.63, 4 Zn 3.46
Ac (0.2039, 0.4078, 0.2500)  13 Al 3.31-3.67, 2 Zn 3.41
Zn (0.5615, 0.1230, 0.2500)  3 Al 2.62-2.64
Zn (0.4385, 0.8770, 0.7500)  3 Al 2.62-2.64

Results
The energy of formation comes out at -332 meV/atom. The magnetization is 0.000 Bohr magnetons per cell. The space group is Cmcm, No. 63.

***

# 8
Compound: IrBrN3
Source: Alexandria via LeMat-Bulk
Functional: PBE-GGA
Structure: optimized geometry

Cell lengths 3.8398, 3.8398, 3.8398 Å; angles 90.00, 90.00, 90.00 degrees
With the nearest neighbours (Å) after each atom.
Positions (direct):
Br (0.0000, 0.0000, 0.0000)  6 N 1.92
Ir (0.5000, 0.5000, 0.5000)  12 N 2.72
N (0.0000, 0.0000, 0.5000)  2 Br 1.92
N (0.5000, 0.0000, 0.0000)  2 Br 1.92
N (0.0000, 0.5000, 0.0000)  2 Br 1.92

Results
The total energy comes out at -3.962 eV per atom. The magnetization is 0.000 Bohr magnetons per cell. The space group is Pm-3m, No. 221.

***

# 9
Compound: IrRhBr4
Source: Alexandria via LeMat-Bulk
Functional: PBE-GGA
Structure: optimized geometry

Cell lengths 5.9168, 5.9168, 5.9168 Å; angles 60.00, 60.00, 60.00 degrees
With the nearest neighbours (Å) after each atom.
Positions (direct):
Rh (0.0000, 0.0000, 0.0000)  12 Br 3.47, 4 Ir 3.62
Br (0.3754, 0.3754, 0.8739)  6 Br 2.95-2.97
Br (0.8739, 0.3754, 0.3754)  6 Br 2.95-2.97
Br (0.3754, 0.8739, 0.3754)  6 Br 2.95-2.97
Br (0.3754, 0.3754, 0.3754)  6 Br 2.95-2.97
Ir (0.7500, 0.7500, 0.7500)  12 Br 3.47, 4 Rh 3.62

Results
The total energy comes out at -2.018 eV per atom. The magnetization is 3.171 Bohr magnetons per cell. The space group is F-43m, No. 216.

***

# 10
Compound: BaCuP
Source: Alexandria via LeMat-Bulk
Functional: PBE-GGA
Structure: optimized geometry

Cell lengths 5.5363, 5.5363, 12.5645 Å; angles 90.00, 90.00, 120.00 degrees
With the nearest neighbours (Å) after each atom.
Positions (direct):
P (0.0000, 0.0000, 0.0000)  2 Ba 3.14
P (0.0000, 0.0000, 0.5000)  2 Ba 3.14
Cu (0.3333, 0.6667, 0.2500)  3 Ba 3.20
Cu (0.6667, 0.3333, 0.7500)  3 Ba 3.20
Ba (0.0000, 0.0000, 0.2500)  2 P 3.14, 3 Cu 3.20
Ba (0.0000, 0.0000, 0.7500)  2 P 3.14, 3 Cu 3.20

Results
The energy of formation comes out at 994 meV/atom. The magnetization is 4.000 Bohr magnetons per cell. The space group is P6_3/mmc, No. 194.

***

# 11
Compound: MnPbS3
Source: Alexandria via LeMat-Bulk
Functional: PBE-GGA
Structure: optimized geometry

Cell lengths 4.6604, 4.6604, 4.6604 Å; angles 90.00, 90.00, 90.00 degrees
With the nearest neighbours (Å) after each atom.
Positions (direct):
S (0.0000, 0.5000, 0.0000)  2 Mn 2.33
S (0.0000, 0.0000, 0.5000)  2 Mn 2.33
S (0.5000, 0.0000, 0.0000)  2 Mn 2.33
Mn (0.0000, 0.0000, 0.0000)  6 S 2.33
Pb (0.5000, 0.5000, 0.5000)  12 S 3.30

Results
The total energy comes out at -5.295 eV per atom. The magnetization is 3.656 Bohr magnetons per cell. The space group is Pm-3m, No. 221.

***

> Number 1 is which compound?

TcPd3Br

***

> Which of these has the highest magnetization?

CrI2Br

***

> The highest magnetization belongs to which entry?

CrI2Br